(1)
SmY3Ir3 | Alexandria | PBE-GGA | optimized geometry; volume = 163.3 Å³/cell; space group = R-3m; uncorrected energy = -7.912 eV per atom
1.0
5.631 0.017 -1.997
-2.799 4.840 -1.981
-0.010 0.017 5.974
Ir Y Sm
3 3 1
Cartesian
2.800 0.034 1.981
-1.415 2.446 1.990
1.406 2.446 -1.996
2.803 0.025 -1.005
-0.015 0.025 2.978
1.402 2.455 0.992
-1.408 2.434 -0.996

(2)
SmY5Ir6 | Alexandria | PBE-GGA | optimized geometry; volume = 245.6 Å³/cell; space group = Cmmm; uncorrected energy = -8.270 eV per atom
1.0
4.699 -0.028 1.566
0.036 6.676 0.012
0.001 -0.014 7.829
Y Sm Ir
5 1 6
Cartesian
3.136 -0.028 6.256
0.018 3.338 0.006
1.584 3.324 3.139
3.152 3.310 6.268
1.564 -0.014 3.139
0.000 0.000 0.000
3.937 4.972 3.940
3.920 1.648 3.934
2.376 4.976 0.792
2.358 1.673 0.786
0.798 1.662 5.467
0.816 4.986 5.473

(3)
Sm3Y2Ir2 | Alexandria | PBE-GGA | optimized geometry; volume = 192.2 Å³/cell; space group = C2/m; uncorrected energy = -6.961 eV per atom
1.0
-3.631 -0.175 -1.469
3.835 -3.415 -3.835
-0.396 -5.183 6.817
Ir Sm Y
2 3 2
Cartesian
3.058 -4.218 -1.822
-3.249 -4.554 3.335
2.181 -5.740 0.525
-2.373 -3.032 0.988
-1.815 -0.087 -0.734
0.647 -2.848 -1.261
-0.839 -5.924 2.774

What did we get for formation energy? Answer: -64.7; -72.6; -54.0 kJ per mole of atoms, in the order shown.